[1]
A plane-wave DFT calculation with GGA-PBE was carried out for Li3Bi2P3O12 after structural relaxation.

Geometry as POSCAR:
```
Li3Bi2P3O12
1.0
7.510 -4.390 0.000
7.510 4.390 0.000
-4.187 0.000 8.067
Li Bi P O
6 4 6 24
direct
0.140 0.860 0.750
0.188 0.445 0.678
0.445 0.188 0.178
0.555 0.812 0.822
0.812 0.555 0.322
0.860 0.140 0.250
0.125 0.684 0.343
0.316 0.875 0.157
0.684 0.125 0.843
0.875 0.316 0.657
0.036 0.262 0.081
0.262 0.036 0.581
0.434 0.566 0.750
0.566 0.434 0.250
0.738 0.964 0.419
0.964 0.738 0.919
0.002 0.457 0.200
0.009 0.145 0.152
0.113 0.720 0.090
0.145 0.009 0.652
0.158 0.229 0.553
0.229 0.158 0.053
0.253 0.601 0.608
0.280 0.887 0.410
0.399 0.747 0.892
0.404 0.458 0.301
0.457 0.002 0.700
0.458 0.404 0.801
0.542 0.596 0.199
0.543 0.998 0.300
0.596 0.542 0.699
0.601 0.253 0.108
0.720 0.113 0.590
0.747 0.399 0.392
0.771 0.842 0.947
0.842 0.771 0.447
0.855 0.991 0.348
0.887 0.280 0.910
0.991 0.855 0.848
0.998 0.543 0.800
```

**Energy relative to the lowest polymorph listed for this composition**: 0.000 eV/atom
**Calculated density**: 4.5 g/cm³
**Space group**: C2/c (15)
**DOS at the Fermi energy**: 0.000 states/eV per cell
**Energy relative to the elements, uncorrected**: -2092 meV/atom

---

[2]
A plane-wave DFT calculation with GGA-PBE was carried out for Li2BiP2O8 after structural relaxation.

Geometry as POSCAR:
```
Li2BiP2O8
1.0
8.593 0.000 0.000
-4.297 7.442 0.000
0.000 0.000 7.902
Li Bi P O
6 3 6 24
direct
0.000 0.000 0.000
0.000 0.357 0.869
0.333 0.667 0.126
0.357 0.000 0.869
0.643 0.643 0.869
0.667 0.333 0.046
0.000 0.000 0.437
0.333 0.667 0.508
0.667 0.333 0.565
0.019 0.712 0.744
0.288 0.307 0.744
0.366 0.019 0.256
0.653 0.634 0.256
0.693 0.981 0.744
0.981 0.347 0.256
0.069 0.818 0.569
0.089 0.845 0.890
0.110 0.595 0.730
0.155 0.244 0.890
0.182 0.251 0.569
0.188 0.463 0.270
0.218 0.076 0.258
0.275 0.812 0.270
0.405 0.515 0.730
0.418 0.229 0.755
0.467 0.092 0.090
0.485 0.890 0.730
0.489 0.090 0.415
0.537 0.725 0.270
0.601 0.511 0.415
0.625 0.533 0.090
0.749 0.931 0.569
0.756 0.911 0.890
0.771 0.189 0.755
0.811 0.582 0.755
0.859 0.782 0.258
0.908 0.375 0.090
0.910 0.399 0.415
0.924 0.141 0.258
```

**Calculated density**: 4.1 g/cm³
**Space group**: P3 (143)
**DOS at the Fermi energy**: 6.770 states/eV per cell
**Energy relative to the elements, uncorrected**: -1990 meV/atom

---

[3]
A plane-wave DFT calculation with GGA-PBE was carried out for LiBiPO2 after structural relaxation.

Geometry as POSCAR:
```
LiBiPO2
1.0
3.964 0.000 0.000
0.000 3.964 0.000
0.000 0.000 4.391
Li Bi P O
1 1 1 2
direct
0.000 0.000 0.000
0.500 0.500 0.500
0.000 0.000 0.500
0.000 0.500 0.000
0.500 0.000 0.000
```

**Energy relative to the lowest polymorph listed for this composition**: 0.148 eV/atom
**Calculated density**: 6.7 g/cm³
**Space group**: P4/mmm (123)
**DOS at the Fermi energy**: 3.797 states/eV per cell
**Energy relative to the elements, uncorrected**: 28 meV/atom

---

Number 1: magnetic moment 0.0 μB per cell. Number 2: magnetic moment 0.0 μB per cell. Number 3: magnetic moment 1.0 μB per cell.